No. 1
Computed, not measured: an optimized crystal structure of Tb2PmAg at the GGA-PBE level of DFT.

The structure in POSCAR format:
```
Tb2PmAg
1.0
0.0000 3.8390 3.8390
3.8390 0.0000 3.8390
3.8390 3.8390 0.0000
Tb Pm Ag
2 1 1
Direct
0.2500 0.2500 0.2500
0.7500 0.7500 0.7500
0.0000 0.0000 0.0000
0.5000 0.5000 0.5000
```

Summary:
total DFT energy (no corrections): -16.5 eV per formula unit
ΔH_f (0 K): 98 meV per atom
size of the total moment: 0.00 μB per formula unit


No. 2
Computed, not measured: an optimized crystal structure of Tb3PmAg2 at the GGA-PBE level of DFT.

The structure in POSCAR format:
```
Tb3PmAg2
1.0
3.6470 0.0000 0.0000
0.0000 3.6470 0.0000
0.0000 0.0000 12.3827
Tb Pm Ag
3 1 2
Direct
0.0000 0.0000 0.0000
0.0000 0.0000 0.2947
0.0000 0.0000 0.7053
0.5000 0.5000 0.5000
0.5000 0.5000 0.1485
0.5000 0.5000 0.8515
```

Summary:
total DFT energy (no corrections): -25.5 eV per formula unit
ΔH_f (0 K): -194 meV per atom
size of the total moment: 0.00 μB per formula unit


No. 3
Computed, not measured: an optimized crystal structure of TbPm4Ag5 at the GGA-PBE level of DFT.

The structure in POSCAR format:
```
TbPm4Ag5
1.0
3.6840 0.0000 0.0000
0.0000 3.6840 0.0000
0.0000 0.0000 18.8881
Tb Pm Ag
1 4 5
Direct
0.0000 0.0000 0.0000
0.0000 0.0000 0.1973
0.0000 0.0000 0.3993
0.0000 0.0000 0.6007
0.0000 0.0000 0.8027
0.5000 0.5000 0.0941
0.5000 0.5000 0.2985
0.5000 0.5000 0.5000
0.5000 0.5000 0.7015
0.5000 0.5000 0.9059
```

Summary:
total DFT energy (no corrections): -40.7 eV per formula unit
ΔH_f (0 K): -281 meV per atom
size of the total moment: 0.00 μB per formula unit


What did the third record say?
Computed, not measured: an optimized crystal structure of TbPm4Ag5 at the GGA-PBE level of DFT.

The structure in POSCAR format:
```
TbPm4Ag5
1.0
3.6840 0.0000 0.0000
0.0000 3.6840 0.0000
0.0000 0.0000 18.8881
Tb Pm Ag
1 4 5
Direct
0.0000 0.0000 0.0000
0.0000 0.0000 0.1973
0.0000 0.0000 0.3993
0.0000 0.0000 0.6007
0.0000 0.0000 0.8027
0.5000 0.5000 0.0941
0.5000 0.5000 0.2985
0.5000 0.5000 0.5000
0.5000 0.5000 0.7015
0.5000 0.5000 0.9059
```

Summary:
total DFT energy (no corrections): -40.7 eV per formula unit
ΔH_f (0 K): -281 meV per atom
size of the total moment: 0.00 μB per formula unit